PrB2Os | PBE | optimized geometry

a = 3.7185 Å, b = 3.7185 Å, c = 14.8898 Å
α = 90.00°, β = 90.00°, γ = 120.00°
Closest atoms and distances in Å follow each position.
Element x y z (fractional)
Pr: 0.0000 0.0000 0.0000  8 B 2.92-2.99
Pr: 0.3333 0.6667 0.6667  8 B 2.92-2.99
Pr: 0.6667 0.3333 0.3333  8 B 2.92-2.99
B: 0.0000 0.0000 0.2008  3 Os 2.21, 3 B 2.38
B: 0.0000 0.0000 0.7992  3 Os 2.21, 3 B 2.38
B: 0.3333 0.6667 0.4659  3 Os 2.21, 3 B 2.38
B: 0.3333 0.6667 0.8675  3 Os 2.21, 3 B 2.38
B: 0.6667 0.3333 0.1325  3 Os 2.21, 3 B 2.38
B: 0.6667 0.3333 0.5341  3 Os 2.21, 3 B 2.38
Os: 0.0000 0.0000 0.5000  6 B 2.21
Os: 0.3333 0.6667 0.1667  6 B 2.21
Os: 0.6667 0.3333 0.8333  6 B 2.21

Computed properties:
Energy above the lowest structure with this stoichiometry = 185.2 meV per atom
Energy of formation from the pure elements = -0.1098 eV/atom